VASP calculation (PBE with a Hubbard U) on an optimized crystal structure of Ac2CdCo2O6.

Lattice parameters (Å, degrees): 6.7694 6.7694 6.7694 52.72 52.72 52.72
Element x y z (fractional)
Ac1 0.2030 0.2030 0.2030
Ac2 0.7970 0.7970 0.7970
Cd1 0.0000 0.0000 0.0000
Co1 0.4211 0.4211 0.4211
Co2 0.5789 0.5789 0.5789
O1 0.2113 0.7486 0.7486
O2 0.2514 0.2514 0.7887
O3 0.2514 0.7887 0.2514
O4 0.7486 0.2113 0.7486
O5 0.7486 0.7486 0.2113
O6 0.7887 0.2514 0.2514

Calculated values
Symmetry = R-3m, No. 166
E = -6.23 eV per atom

***

VASP calculation (PBE with a Hubbard U) on an optimized crystal structure of AcCdCoO4.

Lattice parameters (Å, degrees): 5.7312 6.1443 6.8576 90.00 113.17 90.00
Element x y z (fractional)
Ac1 0.2201 0.2500 0.4555
Ac2 0.7799 0.7500 0.5445
Cd1 0.3807 0.7500 0.9611
Cd2 0.6193 0.2500 0.0389
Co1 0.0313 0.2500 0.8496
Co2 0.9687 0.7500 0.1504
O1 0.1423 0.0068 0.7267
O2 0.1423 0.4932 0.7267
O3 0.2769 0.2500 0.1162
O4 0.3179 0.7500 0.2680
O5 0.6821 0.2500 0.7320
O6 0.7231 0.7500 0.8838
O7 0.8577 0.5068 0.2733
O8 0.8577 0.9932 0.2733

Calculated values
Symmetry = P2_1/m, No. 11
E = -6.06 eV per atom

***

VASP calculation (PBE with a Hubbard U) on an optimized crystal structure of Ac2CdCoO5.

Lattice parameters (Å, degrees): 7.3100 7.3100 5.5655 90.00 90.00 90.00
Element x y z (fractional)
Ac1 0.1811 0.3189 0.0000
Ac2 0.3189 0.8189 0.0000
Ac3 0.6811 0.1811 0.0000
Ac4 0.8189 0.6811 0.0000
Cd1 0.0000 0.0000 0.5000
Cd2 0.5000 0.5000 0.5000
Co1 0.0000 0.5000 0.5000
Co2 0.5000 0.0000 0.5000
O1 0.0000 0.0000 0.0000
O2 0.1239 0.6239 0.2618
O3 0.1239 0.6239 0.7382
O4 0.3761 0.1239 0.2618
O5 0.3761 0.1239 0.7382
O6 0.5000 0.5000 0.0000
O7 0.6239 0.8761 0.2618
O8 0.6239 0.8761 0.7382
O9 0.8761 0.3761 0.2618
O10 0.8761 0.3761 0.7382

Calculated values
Symmetry = P4/mbm, No. 127
E = -6.39 eV per atom

***

VASP calculation (PBE with a Hubbard U) on an optimized crystal structure of Ac2Cd2CoO6.

Lattice parameters (Å, degrees): 6.5529 6.5529 6.5529 57.93 57.93 57.93
Element x y z (fractional)
Ac1 0.1962 0.1962 0.1962
Ac2 0.8038 0.8038 0.8038
Cd1 0.4093 0.4093 0.4093
Cd2 0.5907 0.5907 0.5907
Co1 0.0000 0.0000 0.0000
O1 0.1973 0.7675 0.7675
O2 0.2325 0.2325 0.8027
O3 0.2325 0.8027 0.2325
O4 0.7675 0.1973 0.7675
O5 0.7675 0.7675 0.1973
O6 0.8027 0.2325 0.2325

Calculated values
Symmetry = R-3m, No. 166
E = -5.69 eV per atom

***

Which volume belongs to each record? In order, 16.54; 15.86; 16.52; 17.23 A^3/atom.